# 1
# Hf2FePdN, optimized geometry, DFT GGA-PBE
data_Hf2FePdN
_chemical_formula_sum 'Hf2 Fe1 Pd1 N1'
_cell_length_a 4.447
_cell_length_b 4.447
_cell_length_c 3.729
_cell_angle_alpha 90.00
_cell_angle_beta 90.00
_cell_angle_gamma 90.00
_space_group_name_H-M_alt 'P 4/m m m'
_space_group_IT_number 123
_space_group_name_Hall '-P 4 2'
loop_
_atom_site_label
_atom_site_type_symbol
_atom_site_fract_x
_atom_site_fract_y
_atom_site_fract_z
_atom_site_occupancy
Hf1 Hf 0.000 0.500 0.000 1
Fe1 Fe 0.000 0.000 0.500 1
Pd1 Pd 0.500 0.500 0.500 1
N1 N 0.000 0.000 0.000 1
# Volume   14.75 A^3/atom
# E_form (uncorrected)   -0.860 eV/atom

# 2
# PmHf2FeN4, optimized geometry, DFT GGA-PBE
data_PmHf2FeN4
_chemical_formula_sum 'Pm4 Hf8 Fe4 N16'
_cell_length_a 3.236
_cell_length_b 10.996
_cell_length_c 11.056
_cell_angle_alpha 90.00
_cell_angle_beta 90.00
_cell_angle_gamma 90.00
_space_group_name_H-M_alt 'C m c m'
_space_group_IT_number 63
_space_group_name_Hall '-C 2c 2'
loop_
_atom_site_label
_atom_site_type_symbol
_atom_site_fract_x
_atom_site_fract_y
_atom_site_fract_z
_atom_site_occupancy
Pm1 Pm 0.000 0.106 0.250 1
Hf1 Hf 0.000 0.367 0.052 1
Fe1 Fe 0.000 0.156 0.750 1
N1 N 0.000 0.000 0.000 1
N2 N 0.000 0.266 0.613 1
N3 N 0.000 0.439 0.250 1
# Volume   12.29 A^3/atom
# E_form (uncorrected)   -1.333 eV/atom

# 3
# PrHf2FeN4, optimized geometry, DFT GGA-PBE
data_PrHf2FeN4
_chemical_formula_sum 'Pr4 Hf8 Fe4 N16'
_cell_length_a 3.258
_cell_length_b 11.067
_cell_length_c 11.092
_cell_angle_alpha 90.00
_cell_angle_beta 90.00
_cell_angle_gamma 90.00
_space_group_name_H-M_alt 'C m c m'
_space_group_IT_number 63
_space_group_name_Hall '-C 2c 2'
loop_
_atom_site_label
_atom_site_type_symbol
_atom_site_fract_x
_atom_site_fract_y
_atom_site_fract_z
_atom_site_occupancy
Pr1 Pr 0.000 0.104 0.250 1
Hf1 Hf 0.000 0.367 0.051 1
Fe1 Fe 0.000 0.159 0.750 1
N1 N 0.000 0.000 0.000 1
N2 N 0.000 0.265 0.611 1
N3 N 0.000 0.434 0.250 1
# Volume   12.50 A^3/atom
# E_form (uncorrected)   -1.308 eV/atom

# 4
# Hf2FePtN, optimized geometry, DFT GGA-PBE
data_Hf2FePtN
_chemical_formula_sum 'Hf2 Fe1 Pt1 N1'
_cell_length_a 4.430
_cell_length_b 4.430
_cell_length_c 3.762
_cell_angle_alpha 90.00
_cell_angle_beta 90.00
_cell_angle_gamma 90.00
_space_group_name_H-M_alt 'P 4/m m m'
_space_group_IT_number 123
_space_group_name_Hall '-P 4 2'
loop_
_atom_site_label
_atom_site_type_symbol
_atom_site_fract_x
_atom_site_fract_y
_atom_site_fract_z
_atom_site_occupancy
Hf1 Hf 0.000 0.500 0.000 1
Fe1 Fe 0.000 0.000 0.500 1
Pt1 Pt 0.500 0.500 0.500 1
N1 N 0.000 0.000 0.000 1
# Volume   14.76 A^3/atom
# E_form (uncorrected)   -1.015 eV/atom

# 5
# Hf2FeRuN, optimized geometry, DFT GGA-PBE
data_Hf2FeRuN
_chemical_formula_sum 'Hf2 Fe1 Ru1 N1'
_cell_length_a 5.059
_cell_length_b 5.059
_cell_length_c 3.645
_cell_angle_alpha 90.00
_cell_angle_beta 90.00
_cell_angle_gamma 90.00
_space_group_name_H-M_alt 'P 4/m m m'
_space_group_IT_number 123
_space_group_name_Hall '-P 4 2'
loop_
_atom_site_label
_atom_site_type_symbol
_atom_site_fract_x
_atom_site_fract_y
_atom_site_fract_z
_atom_site_occupancy
Hf1 Hf 0.000 0.500 0.000 1
Fe1 Fe 0.000 0.000 0.500 1
Ru1 Ru 0.500 0.500 0.000 1
N1 N 0.500 0.500 0.500 1
# Volume   18.66 A^3/atom
# E_form (uncorrected)   0.845 eV/atom

# 6
# HfFeSN2, optimized geometry, DFT GGA-PBE
data_HfFeSN2
_chemical_formula_sum 'Hf1 Fe1 S1 N2'
_cell_length_a 3.703
_cell_length_b 3.703
_cell_length_c 4.427
_cell_angle_alpha 90.00
_cell_angle_beta 90.00
_cell_angle_gamma 90.00
_space_group_name_H-M_alt 'P 4/m m m'
_space_group_IT_number 123
_space_group_name_Hall '-P 4 2'
loop_
_atom_site_label
_atom_site_type_symbol
_atom_site_fract_x
_atom_site_fract_y
_atom_site_fract_z
_atom_site_occupancy
Hf1 Hf 0.000 0.000 0.000 1
Fe1 Fe 0.500 0.500 0.500 1
S1 S 0.500 0.500 0.000 1
N1 N 0.000 0.500 0.500 1
# Volume   12.14 A^3/atom
# E_form (uncorrected)   0.193 eV/atom
# Energy relative to the lowest polymorph listed for this composition   0 meV per atom

# 7
# HfFeS2N, optimized geometry, DFT GGA-PBE
data_HfFeS2N
_chemical_formula_sum 'Hf1 Fe1 S2 N1'
_cell_length_a 4.591
_cell_length_b 4.591
_cell_length_c 3.416
_cell_angle_alpha 90.00
_cell_angle_beta 90.00
_cell_angle_gamma 90.00
_space_group_name_H-M_alt 'P 4/m m m'
_space_group_IT_number 123
_space_group_name_Hall '-P 4 2'
loop_
_atom_site_label
_atom_site_type_symbol
_atom_site_fract_x
_atom_site_fract_y
_atom_site_fract_z
_atom_site_occupancy
Hf1 Hf 0.000 0.000 0.000 1
Fe1 Fe 0.500 0.500 0.500 1
S1 S 0.000 0.500 0.500 1
N1 N 0.500 0.500 0.000 1
# Volume   14.40 A^3/atom
# E_form (uncorrected)   -0.175 eV/atom
# Energy relative to the lowest polymorph listed for this composition   0 meV per atom

# 8
# HfFeSN2, optimized geometry, DFT GGA-PBE
data_HfFeSN2
_chemical_formula_sum 'Hf1 Fe1 S1 N2'
_cell_length_a 4.050
_cell_length_b 4.050
_cell_length_c 5.197
_cell_angle_alpha 90.00
_cell_angle_beta 90.00
_cell_angle_gamma 90.00
_space_group_name_H-M_alt 'P 4/m m m'
_space_group_IT_number 123
_space_group_name_Hall '-P 4 2'
loop_
_atom_site_label
_atom_site_type_symbol
_atom_site_fract_x
_atom_site_fract_y
_atom_site_fract_z
_atom_site_occupancy
Hf1 Hf 0.000 0.000 0.000 1
Fe1 Fe 0.500 0.500 0.500 1
S1 S 0.000 0.000 0.500 1
N1 N 0.000 0.500 0.000 1
# Volume   17.05 A^3/atom
# E_form (uncorrected)   0.493 eV/atom
# Energy relative to the lowest polymorph listed for this composition   300 meV per atom

- What is the volume in the first record?
  14.75 A^3/atom